No. 1
{
  "formula": "MgHgAu2",
  "functional": "PBE-GGA",
  "state": "optimized geometry",
  "lattice": [[3.224, 0.000, 0.000], [0.000, 4.478, 0.000], [-1.579, 0.000, 5.515]],
  "species": ["Mg", "Hg", "Au", "Au"],
  "frac_coords": [[0.000, 0.000, 0.000], [0.323, 0.500, 0.644], [0.572, 0.500, 0.150], [0.734, 0.000, 0.464]],
  "dos_ef_per_ev_cell": 1.16,
  "magnetic_moment_mub_per_fu": 0.00
}



No. 2
{
  "formula": "Mg5Hg2Au2",
  "functional": "PBE-GGA",
  "state": "optimized geometry",
  "lattice": [[7.061, -3.759, 0.000], [7.061, 3.759, 0.000], [0.000, 0.000, 7.259]],
  "species": ["Mg", "Mg", "Mg", "Mg", "Mg", "Mg", "Mg", "Mg", "Mg", "Mg", "Hg", "Hg", "Hg", "Hg", "Au", "Au", "Au", "Au"],
  "frac_coords": [[0.000, 0.000, 0.000], [0.037, 0.708, 0.664], [0.208, 0.537, 0.164], [0.292, 0.963, 0.664], [0.463, 0.792, 0.164], [0.500, 0.500, 0.500], [0.537, 0.208, 0.836], [0.708, 0.037, 0.336], [0.792, 0.463, 0.836], [0.963, 0.292, 0.336], [0.210, 0.210, 0.000], [0.290, 0.290, 0.500], [0.710, 0.710, 0.500], [0.790, 0.790, 0.000], [0.140, 0.860, 0.364], [0.360, 0.640, 0.864], [0.640, 0.360, 0.136], [0.860, 0.140, 0.636]],
  "dos_ef_per_ev_cell": 7.40,
  "magnetic_moment_mub_per_fu": 0.00
}



No. 3
{
  "formula": "Mg5Hg2Au",
  "functional": "PBE-GGA",
  "state": "optimized geometry",
  "lattice": [[6.275, 0.000, 0.000], [0.000, 11.341, 0.000], [0.000, 0.000, 4.686]],
  "species": ["Mg", "Mg", "Mg", "Mg", "Mg", "Mg", "Mg", "Mg", "Mg", "Mg", "Hg", "Hg", "Hg", "Hg", "Au", "Au"],
  "frac_coords": [[0.000, 0.000, 0.000], [0.140, 0.270, 0.000], [0.158, 0.598, 0.500], [0.342, 0.098, 0.500], [0.360, 0.770, 0.000], [0.500, 0.500, 0.000], [0.640, 0.230, 0.000], [0.658, 0.902, 0.500], [0.842, 0.402, 0.500], [0.860, 0.730, 0.000], [0.114, 0.852, 0.500], [0.386, 0.352, 0.500], [0.614, 0.648, 0.500], [0.886, 0.148, 0.500], [0.000, 0.500, 0.000], [0.500, 0.000, 0.000]],
  "dos_ef_per_ev_cell": 4.34,
  "magnetic_moment_mub_per_fu": 0.00
}



No. 4
{
  "formula": "MgHgAu2",
  "functional": "PBE-GGA",
  "state": "optimized geometry",
  "lattice": [[1.575, 0.910, 9.188], [-1.575, 0.910, 9.188], [0.000, -1.819, 9.188]],
  "species": ["Mg", "Hg", "Au", "Au"],
  "frac_coords": [[0.000, 0.000, 0.000], [0.500, 0.500, 0.500], [0.258, 0.258, 0.258], [0.742, 0.742, 0.742]],
  "dos_ef_per_ev_cell": 1.45,
  "magnetic_moment_mub_per_fu": 0.00
}



Across the entries above, calculated total energy takes the values -2.35, -2.05, -1.79, -2.29 eV per atom, respectively.
Across the entries above, ΔE_f takes the values -23.3, -35.4, -29.8, -17.5 kJ per mole of atoms, respectively.